First-principles (PBEsol) data for a relaxed structure of AgSe3F, as listed in Alexandria via LeMat-Bulk.

Cell lengths 4.593, 4.593, 4.593 Å; angles 90.00, 90.00, 90.00 degrees
Fractional positions:
Se1 0.000 0.500 0.000
Se2 0.000 0.000 0.500
Se3 0.500 0.000 0.000
F1 0.000 0.000 0.000
Ag1 0.500 0.500 0.500

Computed properties:
* N(E_F): 0.38 states/eV per atom
* electronic total energy: -2.93 eV/atom

***

First-principles (PBEsol) data for a relaxed structure of CsBSb2I, as listed in Alexandria via LeMat-Bulk.

Cell lengths 4.834, 4.834, 7.248 Å; angles 90.00, 90.00, 90.00 degrees
Fractional positions:
I1 0.000 0.000 0.500
B1 0.000 0.000 0.000
Sb1 0.500 0.000 0.000
Sb2 0.000 0.500 0.000
Cs1 0.500 0.500 0.500

Computed properties:
* N(E_F): 0.72 states/eV per atom
* electronic total energy: -3.41 eV/atom

***

First-principles (PBEsol) data for a relaxed structure of TlFe3Ag, as listed in Alexandria via LeMat-Bulk.

Cell lengths 4.774, 4.774, 4.774 Å; angles 90.00, 90.00, 90.00 degrees
Fractional positions:
Tl1 0.000 0.000 0.000
Fe1 0.000 0.000 0.500
Fe2 0.000 0.500 0.000
Fe3 0.500 0.000 0.000
Ag1 0.500 0.500 0.500

Computed properties:
* N(E_F): 2.19 states/eV per atom
* formation energy: 1.88 eV/atom

***

First-principles (PBEsol) data for a relaxed structure of Ti2VIr, as listed in Alexandria via LeMat-Bulk.

Cell lengths 4.336, 4.336, 4.336 Å; angles 60.00, 60.00, 60.00 degrees
Fractional positions:
V1 0.000 0.000 0.000
Ti1 0.250 0.250 0.250
Ti2 0.750 0.750 0.750
Ir1 0.500 0.500 0.500

Computed properties:
* N(E_F): 1.21 states/eV per atom
* formation energy: -0.54 eV/atom

***

First-principles (PBEsol) data for a relaxed structure of TaB2Ir, as listed in Alexandria via LeMat-Bulk.

Cell lengths 3.938, 3.938, 3.938 Å; angles 60.00, 60.00, 60.00 degrees
Fractional positions:
Ta1 0.000 0.000 0.000
B1 0.250 0.250 0.250
B2 0.750 0.750 0.750
Ir1 0.500 0.500 0.500

Computed properties:
* N(E_F): 0.99 states/eV per atom
* formation energy: 0.16 eV/atom

***

First-principles (PBEsol) data for a relaxed structure of SrLiAs, as listed in Alexandria via LeMat-Bulk.

Cell lengths 4.483, 7.549, 8.003 Å; angles 90.00, 90.00, 90.00 degrees
Fractional positions:
Li1 0.250 0.153 0.071
Li2 0.750 0.347 0.571
Li3 0.250 0.653 0.429
Li4 0.750 0.847 0.929
Sr1 0.750 0.993 0.297
Sr2 0.250 0.007 0.703
Sr3 0.250 0.507 0.797
Sr4 0.750 0.493 0.203
As1 0.750 0.222 0.904
As2 0.750 0.722 0.596
As3 0.250 0.778 0.096
As4 0.250 0.278 0.404

Computed properties:
* formation energy: -1.04 eV/atom